No. 1
# Ag4HgAu7, relaxed, DFT PBE-GGA
# Total magnetization in Bohr magnetons per cell: 0.000
# Space-group type: C2/m, No. 12
# Calculated formation energy in eV/atom: 0.098
data_Ag4HgAu7
_symmetry_space_group_name_H-M 'P 1'
_symmetry_Int_Tables_number 1
_cell_length_a 5.8548
_cell_length_b 5.8548
_cell_length_c 10.2055
_cell_angle_alpha 115.98
_cell_angle_beta 115.98
_cell_angle_gamma 52.50
loop_
_symmetry_equiv_pos_as_xyz
'x,y,z'
loop_
_atom_site_label
_atom_site_type_symbol
_atom_site_fract_x
_atom_site_fract_y
_atom_site_fract_z
_atom_site_occupancy
Ag1 Ag 0.0840 0.0840 0.3137 1
Ag2 Ag 0.3202 0.3202 0.2286 1
Ag3 Ag 0.6798 0.6798 0.7714 1
Ag4 Ag 0.9160 0.9160 0.6863 1
Hg1 Hg 0.5000 0.5000 0.0000 1
Au1 Au 0.0000 0.0000 0.0000 1
Au2 Au 0.1630 0.1630 0.6202 1
Au3 Au 0.2091 0.2091 0.9136 1
Au4 Au 0.3827 0.3827 0.5348 1
Au5 Au 0.6173 0.6173 0.4652 1
Au6 Au 0.7909 0.7909 0.0864 1
Au7 Au 0.8370 0.8370 0.3798 1

---

No. 2
# Ag2Hg2Au7, relaxed, DFT PBE-GGA
# Total magnetization in Bohr magnetons per cell: 0.000
# Space-group type: C2/m, No. 12
# Calculated formation energy in eV/atom: 0.066
data_Ag2Hg2Au7
_symmetry_space_group_name_H-M 'P 1'
_symmetry_Int_Tables_number 1
_cell_length_a 5.9394
_cell_length_b 5.9394
_cell_length_c 6.5066
_cell_angle_alpha 101.72
_cell_angle_beta 101.72
_cell_angle_gamma 96.55
loop_
_symmetry_equiv_pos_as_xyz
'x,y,z'
loop_
_atom_site_label
_atom_site_type_symbol
_atom_site_fract_x
_atom_site_fract_y
_atom_site_fract_z
_atom_site_occupancy
Ag1 Ag 0.1941 0.1941 0.4775 1
Ag2 Ag 0.8059 0.8059 0.5225 1
Hg1 Hg 0.2778 0.7222 0.5000 1
Hg2 Hg 0.7222 0.2778 0.5000 1
Au1 Au 0.0000 0.0000 0.0000 1
Au2 Au 0.0997 0.5569 0.8266 1
Au3 Au 0.3860 0.3860 0.1438 1
Au4 Au 0.4431 0.9003 0.1734 1
Au5 Au 0.5569 0.0997 0.8266 1
Au6 Au 0.6140 0.6140 0.8562 1
Au7 Au 0.9003 0.4431 0.1734 1

---

No. 3
# Ag2HgAu, relaxed, DFT PBE-GGA
# Total magnetization in Bohr magnetons per cell: 0.000
# Space-group type: Cm, No. 8
# Calculated formation energy in eV/atom: 0.024
data_Ag2HgAu
_symmetry_space_group_name_H-M 'P 1'
_symmetry_Int_Tables_number 1
_cell_length_a 5.2325
_cell_length_b 5.2325
_cell_length_c 5.1196
_cell_angle_alpha 100.47
_cell_angle_beta 100.47
_cell_angle_gamma 33.48
loop_
_symmetry_equiv_pos_as_xyz
'x,y,z'
loop_
_atom_site_label
_atom_site_type_symbol
_atom_site_fract_x
_atom_site_fract_y
_atom_site_fract_z
_atom_site_occupancy
Ag1 Ag 0.0000 0.0000 0.0000 1
Ag2 Ag 0.7484 0.7484 0.2449 1
Hg1 Hg 0.2468 0.2468 0.7462 1
Au1 Au 0.4949 0.4949 0.4881 1

---

No. 4
# Ag2HgAu, relaxed, DFT PBE-GGA
# Total magnetization in Bohr magnetons per cell: 0.000
# Space-group type: P2/m, No. 10
# Calculated formation energy in eV/atom: 0.028
data_Ag2HgAu
_symmetry_space_group_name_H-M 'P 1'
_symmetry_Int_Tables_number 1
_cell_length_a 5.1721
_cell_length_b 3.0038
_cell_length_c 5.1932
_cell_angle_alpha 90.00
_cell_angle_beta 109.93
_cell_angle_gamma 90.00
loop_
_symmetry_equiv_pos_as_xyz
'x,y,z'
loop_
_atom_site_label
_atom_site_type_symbol
_atom_site_fract_x
_atom_site_fract_y
_atom_site_fract_z
_atom_site_occupancy
Ag1 Ag 0.0000 0.0000 0.0000 1
Ag2 Ag 0.0000 0.5000 0.5000 1
Hg1 Hg 0.5000 0.0000 0.5000 1
Au1 Au 0.5000 0.5000 0.0000 1

---

No. 5
# Ag2HgAu, relaxed, DFT PBE-GGA
# Total magnetization in Bohr magnetons per cell: 0.000
# Space-group type: Cmmm, No. 65
# Calculated formation energy in eV/atom: 0.024
data_Ag2HgAu
_symmetry_space_group_name_H-M 'P 1'
_symmetry_Int_Tables_number 1
_cell_length_a 5.1606
_cell_length_b 5.1606
_cell_length_c 3.0063
_cell_angle_alpha 90.00
_cell_angle_beta 90.00
_cell_angle_gamma 109.26
loop_
_symmetry_equiv_pos_as_xyz
'x,y,z'
loop_
_atom_site_label
_atom_site_type_symbol
_atom_site_fract_x
_atom_site_fract_y
_atom_site_fract_z
_atom_site_occupancy
Ag1 Ag 0.0000 0.5000 0.0000 1
Ag2 Ag 0.5000 0.0000 0.0000 1
Hg1 Hg 0.0000 0.0000 0.5000 1
Au1 Au 0.5000 0.5000 0.5000 1

---

No. 6
# Ag5HgAu3, relaxed, DFT PBE-GGA
# Total magnetization in Bohr magnetons per cell: 0.000
# Space-group type: C2/m, No. 12
# Calculated formation energy in eV/atom: 0.195
data_Ag5HgAu3
_symmetry_space_group_name_H-M 'P 1'
_symmetry_Int_Tables_number 1
_cell_length_a 5.8105
_cell_length_b 5.8105
_cell_length_c 11.5431
_cell_angle_alpha 94.67
_cell_angle_beta 94.67
_cell_angle_gamma 83.62
loop_
_symmetry_equiv_pos_as_xyz
'x,y,z'
loop_
_atom_site_label
_atom_site_type_symbol
_atom_site_fract_x
_atom_site_fract_y
_atom_site_fract_z
_atom_site_occupancy
Ag1 Ag 0.0244 0.0244 0.2939 1
Ag2 Ag 0.0816 0.5164 0.3335 1
Ag3 Ag 0.1685 0.8315 0.0000 1
Ag4 Ag 0.2140 0.2140 0.8767 1
Ag5 Ag 0.4836 0.9184 0.6665 1
Ag6 Ag 0.5164 0.0816 0.3335 1
Ag7 Ag 0.7860 0.7860 0.1233 1
Ag8 Ag 0.8315 0.1685 0.0000 1
Ag9 Ag 0.9184 0.4836 0.6665 1
Ag10 Ag 0.9756 0.9756 0.7061 1
Hg1 Hg 0.4418 0.4418 0.7323 1
Hg2 Hg 0.5582 0.5582 0.2677 1
Au1 Au 0.1727 0.1727 0.5167 1
Au2 Au 0.2519 0.2519 0.1331 1
Au3 Au 0.5000 0.5000 0.0000 1
Au4 Au 0.5000 0.5000 0.5000 1
Au5 Au 0.7481 0.7481 0.8669 1
Au6 Au 0.8273 0.8273 0.4833 1

---

No. 7
# AgHgAu2, relaxed, DFT PBE-GGA
# Total magnetization in Bohr magnetons per cell: 0.000
# Space-group type: R-3m, No. 166
# Calculated formation energy in eV/atom: 0.046
data_AgHgAu2
_symmetry_space_group_name_H-M 'P 1'
_symmetry_Int_Tables_number 1
_cell_length_a 9.9516
_cell_length_b 9.9516
_cell_length_c 9.9516
_cell_angle_alpha 17.39
_cell_angle_beta 17.39
_cell_angle_gamma 17.39
loop_
_symmetry_equiv_pos_as_xyz
'x,y,z'
loop_
_atom_site_label
_atom_site_type_symbol
_atom_site_fract_x
_atom_site_fract_y
_atom_site_fract_z
_atom_site_occupancy
Ag1 Ag 0.0000 0.0000 0.0000 1
Hg1 Hg 0.5000 0.5000 0.5000 1
Au1 Au 0.2544 0.2544 0.2544 1
Au2 Au 0.7456 0.7456 0.7456 1

---

No. 8
# Ag4HgAu, relaxed, DFT PBE-GGA
# Total magnetization in Bohr magnetons per cell: 0.000
# Space-group type: F-43m, No. 216
# Calculated formation energy in eV/atom: 0.177
# Energy above the most stable polymorph in this dataset in meV/atom: 26
data_Ag4HgAu
_symmetry_space_group_name_H-M 'P 1'
_symmetry_Int_Tables_number 1
_cell_length_a 5.5285
_cell_length_b 5.5285
_cell_length_c 5.5285
_cell_angle_alpha 60.00
_cell_angle_beta 60.00
_cell_angle_gamma 60.00
loop_
_symmetry_equiv_pos_as_xyz
'x,y,z'
loop_
_atom_site_label
_atom_site_type_symbol
_atom_site_fract_x
_atom_site_fract_y
_atom_site_fract_z
_atom_site_occupancy
Ag1 Ag 0.1249 0.1249 0.1249 1
Ag2 Ag 0.1249 0.1249 0.6252 1
Ag3 Ag 0.1249 0.6252 0.1249 1
Ag4 Ag 0.6252 0.1249 0.1249 1
Hg1 Hg 0.5000 0.5000 0.5000 1
Au1 Au 0.7500 0.7500 0.7500 1